1.
An optimized crystal structure of SrAl2Si. Source: the Alexandria database, functional PBE.

```
data_SrAl2Si
_chemical_formula_sum 'Sr1 Al2 Si1'
_space_group_name_H-M_alt 'P 1 2/m 1'
_space_group_IT_number 10
_cell_length_a 4.875
_cell_length_b 4.107
_cell_length_c 5.335
_cell_angle_alpha 90.00
_cell_angle_beta 105.18
_cell_angle_gamma 90.00
loop_
_space_group_symop_operation_xyz
'x,y,z'
'-x,-y,-z'
'-x,y,-z'
'x,-y,z'
loop_
_atom_site_label
_atom_site_fract_x
_atom_site_fract_y
_atom_site_fract_z
Sr1 0.000 0.000 0.000
Al1 0.280 0.500 0.637
Si1 0.500 0.000 0.500
```

Output
calculated total energy = -14.771 eV per cell
formation energy without anion corrections = -0.05 eV per atom
total magnetic moment = 0.00 μB per formula unit

2.
An optimized crystal structure of SrAlSi2. Source: the Alexandria database, functional PBE.

```
data_SrAlSi2
_chemical_formula_sum 'Sr8 Al8 Si16'
_space_group_name_H-M_alt 'P n m a'
_space_group_IT_number 62
_cell_length_a 14.252
_cell_length_b 4.321
_cell_length_c 11.179
_cell_angle_alpha 90.00
_cell_angle_beta 90.00
_cell_angle_gamma 90.00
loop_
_space_group_symop_operation_xyz
'x,y,z'
'-x,-y,-z'
'-x+1/2,-y,z+1/2'
'x+1/2,y,-z+1/2'
'x+1/2,-y+1/2,-z+1/2'
'-x+1/2,y+1/2,z+1/2'
'-x,y+1/2,-z'
'x,-y+1/2,z'
loop_
_atom_site_label
_atom_site_fract_x
_atom_site_fract_y
_atom_site_fract_z
Sr1 0.061 0.250 0.249
Sr2 0.199 0.750 0.975
Al1 0.056 0.250 0.559
Al2 0.183 0.750 0.682
Si1 0.029 0.250 0.968
Si2 0.104 0.250 0.779
Si3 0.125 0.750 0.466
Si4 0.227 0.750 0.260
```

Output
calculated total energy = -138.368 eV per cell
formation energy without anion corrections = -0.26 eV per atom
total magnetic moment = 0.00 μB per formula unit

3.
An optimized crystal structure of SrAlSi2. Source: the Alexandria database, functional PBE.

```
data_SrAlSi2
_chemical_formula_sum 'Sr2 Al2 Si4'
_space_group_name_H-M_alt 'I -4 m 2'
_space_group_IT_number 119
_space_group_name_Hall 'I -4 -2'
_cell_length_a 4.210
_cell_length_b 4.210
_cell_length_c 9.436
_cell_angle_alpha 90.00
_cell_angle_beta 90.00
_cell_angle_gamma 90.00
loop_
_atom_site_label
_atom_site_fract_x
_atom_site_fract_y
_atom_site_fract_z
Sr1 0.000 0.000 0.000
Al1 0.000 0.500 0.750
Si1 0.000 0.000 0.500
Si2 0.000 0.500 0.250
```

Output
calculated total energy = -30.990 eV per cell
formation energy without anion corrections = 0.19 eV per atom
total magnetic moment = 0.00 μB per formula unit

4.
An optimized crystal structure of Sr2AlSi3. Source: the Alexandria database, functional PBE.

```
data_Sr2AlSi3
_chemical_formula_sum 'Sr4 Al2 Si6'
_space_group_name_H-M_alt 'I m m 2'
_space_group_IT_number 44
_cell_length_a 4.422
_cell_length_b 4.435
_cell_length_c 14.409
_cell_angle_alpha 90.00
_cell_angle_beta 90.00
_cell_angle_gamma 90.00
loop_
_space_group_symop_operation_xyz
'x,y,z'
'-x,-y,z'
'-x,y,z'
'x,-y,z'
'x+1/2,y+1/2,z+1/2'
'-x+1/2,-y+1/2,z+1/2'
'-x+1/2,y+1/2,z+1/2'
'x+1/2,-y+1/2,z+1/2'
loop_
_atom_site_label
_atom_site_fract_x
_atom_site_fract_y
_atom_site_fract_z
Sr1 0.000 0.000 0.000
Sr2 0.000 0.500 0.258
Al1 0.000 0.000 0.588
Si1 0.000 0.000 0.417
Si2 0.000 0.500 0.674
Si3 0.000 0.500 0.837
```

Output
calculated total energy = -51.094 eV per cell
formation energy without anion corrections = -0.36 eV per atom
total magnetic moment = 0.00 μB per formula unit

5.
An optimized crystal structure of SrAl2Si. Source: the Alexandria database, functional PBE.

```
data_SrAl2Si
_chemical_formula_sum 'Sr1 Al2 Si1'
_space_group_name_H-M_alt 'P 4/m m m'
_space_group_IT_number 123
_space_group_name_Hall '-P 4 2'
_cell_length_a 3.469
_cell_length_b 3.469
_cell_length_c 7.291
_cell_angle_alpha 90.00
_cell_angle_beta 90.00
_cell_angle_gamma 90.00
loop_
_atom_site_label
_atom_site_fract_x
_atom_site_fract_y
_atom_site_fract_z
Sr1 0.000 0.000 0.000
Al1 0.500 0.500 0.321
Si1 0.000 0.000 0.500
```

Output
calculated total energy = -14.710 eV per cell
formation energy without anion corrections = -0.03 eV per atom
total magnetic moment = 0.00 μB per formula unit

6.
An optimized crystal structure of Sr4Al3Si. Source: the Alexandria database, functional PBE.

```
data_Sr4Al3Si
_chemical_formula_sum 'Sr4 Al3 Si1'
_space_group_name_H-M_alt 'P m m 2'
_space_group_IT_number 25
_cell_length_a 4.335
_cell_length_b 4.852
_cell_length_c 12.164
_cell_angle_alpha 90.00
_cell_angle_beta 90.00
_cell_angle_gamma 90.00
loop_
_space_group_symop_operation_xyz
'x,y,z'
'-x,-y,z'
'-x,y,z'
'x,-y,z'
loop_
_atom_site_label
_atom_site_fract_x
_atom_site_fract_y
_atom_site_fract_z
Sr1 0.000 0.000 0.000
Sr2 0.000 0.500 0.487
Sr3 0.500 0.000 0.705
Sr4 0.500 0.500 0.210
Al1 0.000 0.500 0.788
Al2 0.500 0.000 0.404
Al3 0.500 0.500 0.915
Si1 0.000 0.000 0.285
```

Output
calculated total energy = -25.407 eV per cell
formation energy without anion corrections = -0.25 eV per atom
total magnetic moment = 0.00 μB per formula unit

7.
An optimized crystal structure of SrAl2Si. Source: the Alexandria database, functional PBE.

```
data_SrAl2Si
_chemical_formula_sum 'Sr2 Al4 Si2'
_space_group_name_H-M_alt 'C 1 m 1'
_space_group_IT_number 8
_cell_length_a 8.284
_cell_length_b 3.998
_cell_length_c 6.075
_cell_angle_alpha 90.00
_cell_angle_beta 109.29
_cell_angle_gamma 90.00
loop_
_space_group_symop_operation_xyz
'x,y,z'
'x,-y,z'
'x+1/2,y+1/2,z'
'x+1/2,-y+1/2,z'
loop_
_atom_site_label
_atom_site_fract_x
_atom_site_fract_y
_atom_site_fract_z
Sr1 0.000 0.000 0.000
Al1 0.015 0.500 0.520
Al2 0.278 0.500 0.369
Si1 0.237 0.000 0.637
```

Output
calculated total energy = -30.479 eV per cell
formation energy without anion corrections = -0.16 eV per atom
total magnetic moment = 0.00 μB per formula unit

8.
An optimized crystal structure of SrAl2Si. Source: the Alexandria database, functional PBE.

```
data_SrAl2Si
_chemical_formula_sum 'Sr2 Al4 Si2'
_space_group_name_H-M_alt 'I 4/m m m'
_space_group_IT_number 139
_space_group_name_Hall '-I 4 2'
_cell_length_a 4.336
_cell_length_b 4.336
_cell_length_c 9.420
_cell_angle_alpha 90.00
_cell_angle_beta 90.00
_cell_angle_gamma 90.00
loop_
_atom_site_label
_atom_site_fract_x
_atom_site_fract_y
_atom_site_fract_z
Sr1 0.000 0.000 0.000
Al1 0.000 0.500 0.250
Si1 0.000 0.000 0.500
```

Output
calculated total energy = -28.135 eV per cell
formation energy without anion corrections = 0.13 eV per atom
total magnetic moment = 0.00 μB per formula unit

9.
An optimized crystal structure of SrAl2Si. Source: the Alexandria database, functional PBE.

```
data_SrAl2Si
_chemical_formula_sum 'Sr4 Al8 Si4'
_space_group_name_H-M_alt 'I -4 2 d'
_space_group_IT_number 122
_space_group_name_Hall 'I -4 2bw'
_cell_length_a 8.055
_cell_length_b 8.055
_cell_length_c 6.018
_cell_angle_alpha 90.00
_cell_angle_beta 90.00
_cell_angle_gamma 90.00
loop_
_atom_site_label
_atom_site_fract_x
_atom_site_fract_y
_atom_site_fract_z
Sr1 0.000 0.000 0.000
Al1 0.175 0.750 0.625
Si1 0.000 0.000 0.500
```

Output
calculated total energy = -58.734 eV per cell
formation energy without anion corrections = -0.02 eV per atom
total magnetic moment = 0.00 μB per formula unit

10.
An optimized crystal structure of SrAlSi2. Source: the Alexandria database, functional PBE.

```
data_SrAlSi2
_chemical_formula_sum 'Sr1 Al1 Si2'
_space_group_name_H-M_alt 'P 4 m m'
_space_group_IT_number 99
_cell_length_a 3.491
_cell_length_b 3.491
_cell_length_c 6.918
_cell_angle_alpha 90.00
_cell_angle_beta 90.00
_cell_angle_gamma 90.00
loop_
_space_group_symop_operation_xyz
'x,y,z'
'-y,x,z'
'-x,-y,z'
'y,-x,z'
'-x,y,z'
'y,x,z'
'x,-y,z'
'-y,-x,z'
loop_
_atom_site_label
_atom_site_fract_x
_atom_site_fract_y
_atom_site_fract_z
Sr1 0.000 0.000 0.000
Al1 0.500 0.500 0.332
Si1 0.000 0.000 0.533
Si2 0.500 0.500 0.685
```

Output
calculated total energy = -16.360 eV per cell
formation energy without anion corrections = -0.02 eV per atom
total magnetic moment = 0.00 μB per formula unit

11.
An optimized crystal structure of SrAl2Si. Source: the Alexandria database, functional PBE.

```
data_SrAl2Si
_chemical_formula_sum 'Sr1 Al2 Si1'
_space_group_name_H-M_alt 'P 4 m m'
_space_group_IT_number 99
_cell_length_a 3.990
_cell_length_b 3.990
_cell_length_c 6.049
_cell_angle_alpha 90.00
_cell_angle_beta 90.00
_cell_angle_gamma 90.00
loop_
_space_group_symop_operation_xyz
'x,y,z'
'-y,x,z'
'-x,-y,z'
'y,-x,z'
'-x,y,z'
'y,x,z'
'x,-y,z'
'-y,-x,z'
loop_
_atom_site_label
_atom_site_fract_x
_atom_site_fract_y
_atom_site_fract_z
Sr1 0.000 0.000 0.000
Al1 0.000 0.500 0.477
Si1 0.500 0.500 0.752
```

Output
calculated total energy = -15.337 eV per cell
formation energy without anion corrections = -0.19 eV per atom
total magnetic moment = 0.00 μB per formula unit

12.
An optimized crystal structure of Sr3AlSi. Source: the Alexandria database, functional PBE.

```
data_Sr3AlSi
_chemical_formula_sum 'Sr3 Al1 Si1'
_space_group_name_H-M_alt 'P m -3 m'
_space_group_IT_number 221
_space_group_name_Hall '-P 4 2 3'
_cell_length_a 6.001
_cell_length_b 6.001
_cell_length_c 6.001
_cell_angle_alpha 90.00
_cell_angle_beta 90.00
_cell_angle_gamma 90.00
loop_
_atom_site_label
_atom_site_fract_x
_atom_site_fract_y
_atom_site_fract_z
Sr1 0.000 0.000 0.500
Al1 0.500 0.500 0.500
Si1 0.000 0.000 0.000
```

Output
energy above the lowest structure with this stoichiometry = 0 meV per atom
calculated total energy = -13.665 eV per cell
formation energy without anion corrections = 0.11 eV per atom
total magnetic moment = 2.21 μB per formula unit

13.
An optimized crystal structure of Sr3AlSi2. Source: the Alexandria database, functional PBE.

```
data_Sr3AlSi2
_chemical_formula_sum 'Sr12 Al4 Si8'
_space_group_name_H-M_alt 'P 1 21/c 1'
_space_group_IT_number 14
_cell_length_a 8.611
_cell_length_b 9.549
_cell_length_c 9.953
_cell_angle_alpha 90.00
_cell_angle_beta 113.39
_cell_angle_gamma 90.00
loop_
_space_group_symop_operation_xyz
'x,y,z'
'-x,-y,-z'
'-x,y+1/2,-z+1/2'
'x,-y+1/2,z+1/2'
loop_
_atom_site_label
_atom_site_fract_x
_atom_site_fract_y
_atom_site_fract_z
Sr1 0.204 0.191 0.336
Sr2 0.238 0.534 0.157
Sr3 0.264 0.594 0.548
Al1 0.417 0.613 0.915
Si1 0.107 0.629 0.813
Si2 0.430 0.211 0.162
```

Output
calculated total energy = -85.640 eV per cell
formation energy without anion corrections = -0.30 eV per atom
total magnetic moment = 0.00 μB per formula unit